VASP calculation (PBE) on a relaxed structure of Fe2RePd.

Computed properties:
Raw total energy, eV per atom: -8.431
Energy of formation, eV per formula unit: 0.49
Space group: No. 38

abc: 4.179 5.378 5.378
angles: 59.45 90.00 90.00
Each line ends with the local moment (μB).
Element x y z (fractional)
Re  0.000  0.311  0.842  -0.37
Re  0.000  0.842  0.311  -0.33
Fe  0.500  0.158  0.158  1.39
Fe  0.500  0.690  0.155  2.02
Fe  0.000  0.842  0.842  1.92
Fe  0.500  0.155  0.690  2.00
Pd  0.000  0.331  0.331  0.04
Pd  0.500  0.671  0.671  -0.02